(1)
CoC2 after structural relaxation, computed with PBE-GGA.

Structure (POSCAR):
```
CoC2
1.0
3.2895 0.0000 0.0000
-1.6448 2.8488 0.0000
0.0000 0.0000 10.1455
C Co
8 4
Cartesian
0.8854 2.4104 7.6092
0.0000 0.8768 7.6092
-0.8854 2.4104 7.6092
2.5302 0.4384 2.5364
1.6448 1.9720 2.5364
0.0000 0.0000 5.0728
0.0000 0.0000 0.0000
0.7593 0.4384 2.5364
1.6448 0.9496 0.8533
0.0000 1.8992 5.9261
1.6448 0.9496 4.2195
0.0000 1.8992 9.2923
```

**Total moment**: 0.0 μB per cell
**ΔH_f (0 K)**: 1.40 eV/atom
**Relative energy among the computed polymorphs**: 911 meV per atom

=====

(2)
CoC2 after structural relaxation, computed with PBE-GGA.

Structure (POSCAR):
```
CoC2
1.0
1.2958 2.4181 -3.7912
-2.7966 -3.7258 -0.4441
-3.5515 2.6119 0.4520
Co C
3 6
Cartesian
0.0000 0.0000 0.0000
-3.2082 -0.3719 -1.3338
-1.8441 1.6761 -2.4495
-3.0555 1.5034 -0.9763
-1.9968 -0.1991 -2.8069
-1.6965 3.5790 -2.2919
-1.8214 -0.4440 -0.0149
-0.5592 1.4510 -1.0473
-4.5267 -0.6699 0.0229
```

**Total moment**: 0.0 μB per cell
**ΔH_f (0 K)**: 1.76 eV/atom
**Relative energy among the computed polymorphs**: 1272 meV per atom

=====

(3)
Co2C after structural relaxation, computed with PBE-GGA.

Structure (POSCAR):
```
Co2C
1.0
2.5784 0.0000 0.0000
-1.2892 2.2329 0.0000
0.0000 0.0000 4.7824
C Co
1 2
Cartesian
0.0000 1.4886 2.3912
0.0000 0.0000 1.1531
0.0000 0.0000 3.6293
```

**Total moment**: 0.0 μB per cell
**ΔH_f (0 K)**: 0.38 eV/atom
**Relative energy among the computed polymorphs**: 278 meV per atom

=====

(4)
CoC2 after structural relaxation, computed with PBE-GGA.

Structure (POSCAR):
```
CoC2
1.0
-1.2418 1.9927 7.1719
1.2418 -1.9927 7.1719
1.2418 1.9927 -7.1719
C Co
4 2
Cartesian
0.0000 2.9891 3.2263
1.2418 -0.9964 5.3465
1.2418 -0.9964 3.9456
0.0000 2.9891 1.8254
0.0000 0.9964 7.7118
1.2418 0.9964 -0.5399
```

**Total moment**: 0.4 μB per cell
**ΔH_f (0 K)**: 0.68 eV/atom
**Relative energy among the computed polymorphs**: 188 meV per atom

=====

(5)
Co3C after structural relaxation, computed with PBE-GGA.

Structure (POSCAR):
```
Co3C
1.0
-3.5783 -1.1955 0.2057
-1.6019 -0.5960 3.3696
-2.7013 2.3293 1.2460
Co C
3 1
Cartesian
-3.9408 0.2689 2.4106
-1.9704 0.1344 1.2053
-5.9112 0.4033 3.6160
0.0000 0.0000 0.0000
```

**Total moment**: 4.6 μB per cell
**ΔH_f (0 K)**: 0.92 eV/atom

=====

(6)
Co3C after structural relaxation, computed with PBE-GGA.

Structure (POSCAR):
```
Co3C
1.0
-2.2484 -3.2799 1.9559
1.4336 -3.1079 -3.5637
5.4337 -1.5929 3.5750
Co C
12 4
Cartesian
1.8557 -2.3260 1.5388
2.7632 -5.6547 0.4284
-0.1022 -1.7520 0.2506
3.6478 -5.1947 3.8085
4.7211 -6.2287 1.7165
3.9655 -3.7503 1.7094
-0.4798 -3.2839 2.4019
0.9711 -2.7860 -1.8413
5.0987 -4.6968 -0.4347
0.6534 -4.2304 0.2578
1.6899 -4.6207 2.5203
2.9290 -3.3599 -0.5531
2.8363 -6.2204 2.3251
1.6192 -4.5983 -1.3740
2.9997 -3.3824 3.3412
1.7826 -1.7602 -0.3579
```

**Total moment**: 12.3 μB per cell
**ΔH_f (0 K)**: 0.13 eV/atom

=====

(7)
CoC2 after structural relaxation, computed with PBE-GGA.

Structure (POSCAR):
```
CoC2
1.0
-1.6061 1.2456 -4.2271
3.1673 -2.8019 -2.0291
-3.0641 -3.5493 0.1183
C Co
8 4
Cartesian
-0.8417 -5.0980 -4.2166
-2.4877 -0.5704 -3.9954
-1.1353 -2.7182 -2.5400
-0.6612 -0.0076 -1.9213
1.4589 -1.8247 -1.5239
-0.3676 -2.3874 -3.5980
-2.9618 -3.2809 -4.6140
0.9848 -4.5352 -2.1425
-2.3351 -1.1518 -2.0544
0.7806 -0.7782 -3.1281
0.0516 -3.1756 -0.9554
0.0000 0.0000 0.0000
```

**Total moment**: 0.6 μB per cell
**ΔH_f (0 K)**: 1.27 eV/atom
**Relative energy among the computed polymorphs**: 783 meV per atom

=====

(8)
CoC after structural relaxation, computed with PBE-GGA.

Structure (POSCAR):
```
CoC
1.0
4.8759 -0.0108 -0.0067
3.8831 2.9488 -0.0067
3.8831 1.3025 2.6456
C Co
2 2
Cartesian
9.9603 3.3410 2.0738
12.1633 4.0799 2.5325
3.5258 1.1826 0.7341
5.9558 1.9977 1.2400
```

**Total moment**: 0.0 μB per cell
**ΔH_f (0 K)**: 1.02 eV/atom

=====

What is the total moment in the second record? 0.0 μB per cell

=====

Which of these has the highest total moment? number 6